This record from the Alexandria database describes a relaxed CaSc2Tl crystal. The functional is PBEsol.

Cell and atoms, written as POSCAR:
```
CaSc2Tl
1.0
3.3597 0.0000 0.0000
0.0000 3.3597 0.0000
0.0000 0.0000 9.3507
Ca Sc Tl
1 2 1
Cartesian
0.0000 0.0000 0.0000
1.6799 1.6799 2.7196
1.6799 1.6799 6.6311
0.0000 0.0000 4.6753
```

The formation energy comes out at -0.05 eV/atom. As for the symmetry: P4/mmm, No. 123.